BaMgTl after structural relaxation, computed with GGA-PBE.

Cell: 5.6690 5.6690 5.6690 Å, 60.00 60.00 60.00°
With the nearest neighbours (Å) after each atom.
Sites, in units of the cell vectors:
1 Ba 0.7500 0.7500 0.7500  4 Tl 3.47, 4 Mg 3.47
2 Mg 0.0000 0.0000 0.0000  4 Ba 3.47
3 Tl 0.5000 0.5000 0.5000  4 Ba 3.47

- Size of the total moment: 0.0 Bohr magnetons per cell
- Energy of formation from the pure elements: 239 meV/atom
- Volume: 129 Å³/cell


Tc4P5 after structural relaxation, computed with GGA-PBE.

Cell: 7.1604 7.1604 5.6090 Å, 90.00 90.00 120.00°
With the nearest neighbours (Å) after each atom.
Sites, in units of the cell vectors:
1 P 0.0000 0.7241 0.2500  5 Tc 2.32-2.54
2 P 0.2759 0.2759 0.2500  5 Tc 2.32-2.54
3 P 0.7241 0.0000 0.2500  5 Tc 2.32-2.54
4 P 0.0000 0.2759 0.7500  5 Tc 2.32-2.54
5 P 0.7241 0.7241 0.7500  5 Tc 2.32-2.54
6 P 0.2759 0.0000 0.7500  5 Tc 2.32-2.54
7 P 0.6667 0.3333 0.0000  6 Tc 2.60, 2 P 2.80
8 P 0.3333 0.6667 0.5000  6 Tc 2.60, 2 P 2.80
9 P 0.3333 0.6667 0.0000  6 Tc 2.60, 2 P 2.80
10 P 0.6667 0.3333 0.5000  6 Tc 2.60, 2 P 2.80
11 Tc 0.0000 0.0000 0.0000  6 P 2.42
12 Tc 0.0000 0.0000 0.5000  6 P 2.42
13 Tc 0.0000 0.4007 0.2500  3 P 2.32-2.54
14 Tc 0.5993 0.5993 0.2500  3 P 2.32-2.54
15 Tc 0.4007 0.0000 0.2500  3 P 2.32-2.54
16 Tc 0.0000 0.5993 0.7500  3 P 2.32-2.54
17 Tc 0.4007 0.4007 0.7500  3 P 2.32-2.54
18 Tc 0.5993 0.0000 0.7500  3 P 2.32-2.54

- Size of the total moment: 0.0 Bohr magnetons per cell
- Energy of formation from the pure elements: -7 meV/atom
- Volume: 249 Å³/cell


AlAsP2 after structural relaxation, computed with GGA-PBE.

Cell: 5.3673 5.3189 2.6893 Å, 79.67 81.62 117.89°
With the nearest neighbours (Å) after each atom.
Sites, in units of the cell vectors:
1 P 0.0000 0.0000 0.0000  4 P 2.69-2.82, 2 Al 2.76, 2 As 2.76
2 P 0.5000 0.0000 0.5000  4 P 2.69-2.82, 2 As 2.76, 2 Al 2.76
3 As 0.5000 0.5000 0.0000  2 As 2.69, 4 P 2.76, 2 Al 2.82
4 Al 0.0000 0.5000 0.5000  2 Al 2.69, 4 P 2.76, 2 As 2.82

- Size of the total moment: 0.0 Bohr magnetons per cell
- Energy of formation from the pure elements: 409 meV/atom
- Volume: 64 Å³/cell